Entry 1:
Density functional theory data (PBE with a Hubbard U) for a relaxed K2DyCrO4 crystal.

Cell lengths 5.6827, 3.3254, 6.4670 Å; angles 90.00, 107.39, 90.00 degrees
Last column: nearest neighbours and their distance in Å.
Space group P2/m (No. 10)
Asymmetric unit:
K1 0.0000 0.0000 0.0000 x1  6 O 2.80-2.82
K2 0.5000 0.5000 0.0000 x1  6 O 2.69
Dy1 0.0000 0.5000 0.5000 x1  6 O 2.27-2.29
Cr1 0.5000 0.0000 0.5000 x1  6 O 2.11-2.16
O1 0.2483 0.0000 0.6829 x2  1 Cr 2.11, 2 Dy 2.27
O2 0.2934 0.5000 0.3233 x2  2 Cr 2.16, 1 Dy 2.29



Entry 2:
Density functional theory data (PBE with a Hubbard U) for a relaxed KDyCrO4 crystal.

Cell lengths 5.8380, 5.8738, 7.3986 Å; angles 90.00, 108.18, 90.00 degrees
Last column: nearest neighbours and their distance in Å.
Space group P2_1/m (No. 11)
Asymmetric unit:
K1 0.1951 0.2500 0.4326 x2  2 O 2.61-2.69
Dy1 0.3081 0.2500 0.9589 x2  6 O 2.26-2.36
Cr1 0.2334 0.7500 0.1653 x2  4 O 1.76-1.84
O1 0.0279 0.7500 0.9334 x2  1 Cr 1.76
O2 0.0376 0.7500 0.3063 x2  1 Cr 1.77
O3 0.4566 0.5233 0.1784 x4  1 Cr 1.84



Entry 3:
Density functional theory data (PBE with a Hubbard U) for a relaxed K2DyCrO6 crystal.

Cell lengths 6.2052, 6.2052, 5.6846 Å; angles 90.00, 90.00, 120.00 degrees
Last column: nearest neighbours and their distance in Å.
Space group P-3m1 (No. 164)
Asymmetric unit:
K1 0.3333 0.6667 0.1012 x2  3 O 2.71
Dy1 0.0000 0.0000 0.5000 x1  6 O 2.27
Cr1 0.0000 0.0000 0.0000 x1  6 O 1.85
O1 0.1370 0.2740 0.8029 x6  1 Cr 1.85



Entry 4:
Density functional theory data (PBE with a Hubbard U) for a relaxed KDyCr2O8 crystal.

Cell lengths 5.7761, 5.7761, 7.6728 Å; angles 90.00, 90.00, 120.00 degrees
Last column: nearest neighbours and their distance in Å.
Space group P-3m1 (No. 164)
Asymmetric unit:
K1 0.0000 0.0000 0.0000 x1  6 O 2.98
Dy1 0.0000 0.0000 0.5000 x1  6 O 2.25
Cr1 0.3333 0.6667 0.7562 x2  4 O 1.62-1.68
O1 0.1746 0.3492 0.6847 x6  1 Cr 1.68
O2 0.3333 0.6667 0.9671 x2  1 Cr 1.62



no.,theoretical density (g/cm3),electronic total energy (eV/atom)
1,5.079,-6.4781
2,4.376,-7.0047
3,3.405,-6.0171
4,3.248,-6.9277